## Sr3Li2Al (PBE)

Data for a relaxed structure of Sr3Li2Al. Values from VASP.

Computed properties:
SG: P-3m1, No. 164
DFT total energy, eV per atom: -2.138
Total moment, μB per formula unit: 0.0

Quantum ESPRESSO input file:
```
&SYSTEM
  ibrav = 0, nat = 12, ntyp = 3
/
ATOMIC_SPECIES
Sr 87.62 Sr.upf
Li 6.94 Li.upf
Al 26.98 Al.upf
CELL_PARAMETERS angstrom
-2.8339 3.8127 -3.3019
0.9757 -5.3570 -1.9547
-12.2867 -4.2817 5.6013
ATOMIC_POSITIONS crystal
Sr 0.3333 0.6667 0.4185
Sr 0.6667 0.3333 0.0922
Sr 0.0000 0.0000 0.7404
Sr 0.0000 0.0000 0.2596
Sr 0.3333 0.6667 0.9078
Sr 0.6667 0.3333 0.5815
Li 0.0000 0.0000 0.5000
Li 0.3333 0.6667 0.1735
Li 0.6667 0.3333 0.8265
Li 0.0000 0.0000 0.0000
Al 0.3333 0.6667 0.6652
Al 0.6667 0.3333 0.3348
```

## LiFeAs (PBE)

Data for a relaxed structure of LiFeAs. Values from VASP.

Computed properties:
SG: Pmmm, No. 47
DFT total energy, eV per atom: -5.018
Total moment, μB per formula unit: 0.7

Quantum ESPRESSO input file:
```
&SYSTEM
  ibrav = 0, nat = 3, ntyp = 3
/
ATOMIC_SPECIES
As 74.92 As.upf
Fe 55.84 Fe.upf
Li 6.94 Li.upf
CELL_PARAMETERS angstrom
3.7905 0.0000 0.0000
0.0000 2.7113 0.0000
0.0000 0.0000 4.6294
ATOMIC_POSITIONS crystal
As 0.5000 0.0000 0.0000
Fe 0.0000 0.5000 0.0000
Li 0.0000 0.0000 0.5000
```

## CsPmBeO3 (PBE)

Data for a relaxed structure of CsPmBeO3. Values from VASP.

Computed properties:
Energy relative to the elements, uncorrected, eV/f.u.: -15.25
SG: P2_1/m, No. 11
DFT total energy, eV per atom: -6.577
Total moment, μB per formula unit: 0.0

Quantum ESPRESSO input file:
```
&SYSTEM
  ibrav = 0, nat = 12, ntyp = 4
/
ATOMIC_SPECIES
Cs 132.91 Cs.upf
Pm 145.00 Pm.upf
Be 9.01 Be.upf
O 16.00 O.upf
CELL_PARAMETERS angstrom
3.5732 0.0000 0.0000
0.0000 8.3467 -0.3452
0.0000 -2.5101 7.5706
ATOMIC_POSITIONS crystal
Cs 0.2500 0.2014 0.2329
Cs 0.7500 0.7986 0.7671
Pm 0.2500 0.6620 0.1670
Pm 0.7500 0.3380 0.8330
Be 0.2500 0.0586 0.6054
Be 0.7500 0.9414 0.3946
O 0.7500 0.8594 0.1883
O 0.2500 0.1406 0.8117
O 0.2500 0.8733 0.4654
O 0.7500 0.1267 0.5346
O 0.7500 0.4716 0.1446
O 0.2500 0.5284 0.8554
```